Computed, not measured: crystalline MnPbSe2 at its relaxed geometry at the PBE level of DFT.

The space group is C2/m (No. 12) and the conventional cell measures 7.297, 7.332 and 3.657 Å, with angles of 90.00, 101.46 and 90.00 degrees. The inequivalent atoms are Mn at (0.000, 0.000, 0.000), Pb at (0.000, 0.500, 0.000) and Se at (0.250, 0.250, 0.500).

As for the total energy: -4.97 eV per atom. The value obtained for the density of states at the Fermi level is 1.1 states/eV/f.u.



Computed, not measured: crystalline Mn2PbSe at its relaxed geometry at the PBE level of DFT.

The space group is F-43m (No. 216) and the conventional cell measures 6.971, 6.971 and 6.971 Å, with angles of 90.00, 90.00 and 90.00 degrees. The inequivalent atoms are Mn at (0.000, 0.000, 0.000), Mn at (0.250, 0.250, 0.250), Pb at (0.250, 0.250, 0.750) and Se at (0.000, 0.000, 0.500).

As for the total energy: -5.77 eV per atom. The value obtained for the density of states at the Fermi level is 3.3 states/eV/f.u. The energy above the most stable polymorph in this dataset is 556.0 meV/atom.



Computed, not measured: crystalline MnPb2Se at its relaxed geometry at the PBE level of DFT.

The space group is Pm (No. 6) and the conventional cell measures 5.065, 3.685 and 5.857 Å, with angles of 90.00, 111.88 and 90.00 degrees. The inequivalent atoms are Mn at (0.000, 0.000, 0.000), Pb at (0.486, 0.500, 0.844), Pb at (0.849, 0.000, 0.460) and Se at (0.290, 0.500, 0.279).

As for the total energy: -5.01 eV per atom. The value obtained for the density of states at the Fermi level is 1.5 states/eV/f.u.



Computed, not measured: crystalline MnPb2Se at its relaxed geometry at the PBE level of DFT.

The space group is P4mm (No. 99) and the conventional cell measures 3.401, 3.401 and 8.682 Å, with angles of 90.00, 90.00 and 90.00 degrees. The inequivalent atoms are Mn at (0.000, 0.000, 0.000), Pb at (0.000, 0.000, 0.577), Pb at (0.500, 0.500, 0.263) and Se at (0.500, 0.500, 0.886).

As for the total energy: -5.02 eV per atom. The value obtained for the density of states at the Fermi level is 2.9 states/eV/f.u.



Computed, not measured: crystalline Mn2PbSe at its relaxed geometry at the PBE level of DFT.

The space group is P4mm (No. 99) and the conventional cell measures 3.314, 3.314 and 7.478 Å, with angles of 90.00, 90.00 and 90.00 degrees. The inequivalent atoms are Mn at (0.000, 0.000, 0.000), Mn at (0.500, 0.500, 0.201), Pb at (0.000, 0.000, 0.445) and Se at (0.500, 0.500, 0.863).

As for the total energy: -6.33 eV per atom. The value obtained for the density of states at the Fermi level is 2.5 states/eV/f.u. The energy above the most stable polymorph in this dataset is 0.0 meV/atom.



Computed, not measured: crystalline MnPb2Se at its relaxed geometry at the PBE level of DFT.

The space group is I-4m2 (No. 119) and the conventional cell measures 4.289, 4.289 and 11.238 Å, with angles of 90.00, 90.00 and 90.00 degrees. The inequivalent atoms are Mn at (0.000, 0.000, 0.000), Pb at (0.000, 0.000, 0.500), Pb at (0.000, 0.500, 0.750) and Se at (0.000, 0.500, 0.250).

As for the total energy: -4.80 eV per atom. The value obtained for the density of states at the Fermi level is 2.0 states/eV/f.u.



Computed, not measured: crystalline Mn4PbSe at its relaxed geometry at the PBE level of DFT.

The space group is F-43m (No. 216) and the conventional cell measures 7.266, 7.266 and 7.266 Å, with angles of 90.00, 90.00 and 90.00 degrees. The inequivalent atoms are Mn at (0.125, 0.125, 0.125), Pb at (0.000, 0.000, 0.500) and Se at (0.250, 0.250, 0.750).

As for the total energy: -6.78 eV per atom. The value obtained for the density of states at the Fermi level is 6.0 states/eV/f.u.



Computed, not measured: crystalline MnSn2PbSe4 at its relaxed geometry at the PBE level of DFT.

The space group is P2/m (No. 10) and the conventional cell measures 6.527, 3.759 and 9.300 Å, with angles of 90.00, 105.66 and 90.00 degrees. The inequivalent atoms are Mn at (0.000, 0.000, 0.000), Sn at (0.500, 0.000, 0.500), Sn at (0.500, 0.500, 0.000), Pb at (0.000, 0.500, 0.500), Se at (0.086, 0.500, 0.838) and Se at (0.371, 0.000, 0.173).

As for the total energy: -4.64 eV per atom. The value obtained for the density of states at the Fermi level is 3.8 states/eV/f.u.



Computed, not measured: crystalline MnSn2PbSe6 at its relaxed geometry at the PBE level of DFT.

The space group is C2/c (No. 15) and the conventional cell measures 17.593, 10.933 and 6.682 Å, with angles of 90.00, 110.30 and 90.00 degrees. The inequivalent atoms are Mn at (0.000, 0.235, 0.250), Sn at (0.224, 0.362, 0.199), Pb at (0.000, 0.117, 0.750), Se at (0.054, 0.346, 0.046), Se at (0.101, 0.111, 0.460) and Se at (0.234, 0.387, 0.808).

As for the total energy: -4.46 eV per atom. The value obtained for the density of states at the Fermi level is 4.3 states/eV/f.u.



Computed, not measured: crystalline MnSnPb2Se5 at its relaxed geometry at the PBE level of DFT.

The space group is Cmc2_1 (No. 36) and the conventional cell measures 4.067, 17.529 and 13.252 Å, with angles of 90.00, 90.00 and 90.00 degrees. The inequivalent atoms are Mn at (0.000, 0.025, 0.000), Sn at (0.000, 0.295, 0.576), Pb at (0.000, 0.359, 0.876), Pb at (0.000, 0.393, 0.240), Se at (0.000, 0.022, 0.328), Se at (0.000, 0.114, 0.561), Se at (0.000, 0.154, 0.926), Se at (0.000, 0.223, 0.225) and Se at (0.000, 0.451, 0.601).

As for the total energy: -4.65 eV per atom. The value obtained for the density of states at the Fermi level is 2.8 states/eV/f.u.



Computed, not measured: crystalline SrMnPb2Se4 at its relaxed geometry at the PBE level of DFT.

The space group is Cmcm (No. 63) and the conventional cell measures 4.283, 14.273 and 15.261 Å, with angles of 90.00, 90.00 and 90.00 degrees. The inequivalent atoms are Sr at (0.000, 0.114, 0.250), Mn at (0.000, 0.159, 0.750), Pb at (0.000, 0.367, 0.052), Se at (0.000, 0.000, 0.000), Se at (0.000, 0.278, 0.630) and Se at (0.000, 0.443, 0.250).

As for the total energy: -4.87 eV per atom.



Computed, not measured: crystalline SrMn2PbSe at its relaxed geometry at the PBE level of DFT.

The space group is P4/mmm (No. 123) and the conventional cell measures 4.768, 4.768 and 6.041 Å, with angles of 90.00, 90.00 and 90.00 degrees. The inequivalent atoms are Sr at (0.000, 0.000, 0.000), Mn at (0.000, 0.500, 0.500), Pb at (0.500, 0.500, 0.000) and Se at (0.500, 0.500, 0.500).

As for the total energy: -5.20 eV per atom. The value obtained for the density of states at the Fermi level is 4.1 states/eV/f.u.



Computed, not measured: crystalline TbMnPb2Se5 at its relaxed geometry at the PBE level of DFT.

The space group is Cmc2_1 (No. 36) and the conventional cell measures 4.123, 18.497 and 13.090 Å, with angles of 90.00, 90.00 and 90.00 degrees. The inequivalent atoms are Tb at (0.000, 0.195, 0.000), Mn at (0.000, 0.444, 0.396), Pb at (0.000, 0.110, 0.301), Pb at (0.000, 0.141, 0.645), Se at (0.000, 0.034, 0.991), Se at (0.000, 0.302, 0.652), Se at (0.000, 0.317, 0.345), Se at (0.000, 0.347, 0.985) and Se at (0.000, 0.496, 0.735).

As for the total energy: -5.12 eV per atom. The value obtained for the density of states at the Fermi level is 3.2 states/eV/f.u.